Record 1
The following is a DFT calculation (GGA-PBE) of DyY6Sc2 after structural relaxation.

The structure in POSCAR format:
```
DyY6Sc2
1.0
5.915 0.000 0.463
0.000 9.448 0.000
-0.104 0.000 9.951
Dy Y Sc
2 12 4
Direct
0.500 0.500 0.000 Dy
0.000 0.000 0.500 Dy
0.915 0.976 0.170 Y
0.932 0.656 0.566 Y
0.988 0.681 0.912 Y
0.512 0.181 0.588 Y
0.568 0.156 0.934 Y
0.585 0.476 0.330 Y
0.085 0.024 0.830 Y
0.068 0.344 0.434 Y
0.012 0.319 0.088 Y
0.488 0.819 0.412 Y
0.432 0.844 0.066 Y
0.415 0.524 0.670 Y
0.934 0.356 0.759 Sc
0.566 0.856 0.741 Sc
0.434 0.144 0.259 Sc
0.066 0.644 0.241 Sc
```

Values from the calculation:
Polymorph energy (0 for the lowest one) (kJ per mole of atoms): 5.2
Formation energy from the elements (kcal/mol of atoms): 3.1
E_tot (eV/atom): -6.09
M_tot (μB per formula unit): 0.0
Symmetry: P2_1/c (14)

---

Record 2
The following is a DFT calculation (GGA-PBE) of Ca5Cd4Cu after structural relaxation.

The structure in POSCAR format:
```
Ca5Cd4Cu
1.0
3.731 0.000 0.000
0.000 3.731 0.000
0.000 0.000 19.583
Ca Cd Cu
5 4 1
Direct
0.500 0.500 0.089 Ca
0.500 0.500 0.295 Ca
0.500 0.500 0.500 Ca
0.500 0.500 0.705 Ca
0.500 0.500 0.911 Ca
0.000 0.000 0.192 Cd
0.000 0.000 0.397 Cd
0.000 0.000 0.603 Cd
0.000 0.000 0.808 Cd
0.000 0.000 0.000 Cu
```

Values from the calculation:
Formation energy from the elements (kcal/mol of atoms): -6.7
E_tot (eV/atom): -2.07
M_tot (μB per formula unit): 0.0
Symmetry: P4/mmm (123)

---

Record 3
The following is a DFT calculation (GGA-PBE) of NdEr7Th3 after structural relaxation.

The structure in POSCAR format:
```
NdEr7Th3
1.0
-6.096 -5.788 1.451
2.789 -1.353 6.322
-4.910 5.000 -0.685
Nd Er Th
1 7 3
Direct
0.455 0.333 0.667 Nd
0.114 0.167 0.833 Er
0.114 0.167 0.334 Er
0.113 0.667 0.333 Er
0.451 0.832 0.168 Er
0.451 0.336 0.168 Er
0.451 0.832 0.664 Er
0.114 0.666 0.833 Er
0.785 0.501 0.499 Th
0.785 0.501 0.002 Th
0.785 0.998 0.499 Th
```

Values from the calculation:
Formation energy from the elements (kcal/mol of atoms): 5.0
E_tot (eV/atom): -5.15
M_tot (μB per formula unit): 0.0
Symmetry: P3m1 (156)